DFT (GGA-PBE) results for a relaxed BaZnCl3 crystal.

The calculation puts the offset from the most stable computed form at 0.272 eV per atom. The space-group type is Pm-3m, No. 221.

Cell lengths 6.0322, 6.0322, 6.0322 Å; angles 90.00, 90.00, 90.00 degrees
With the nearest neighbours (Å) after each atom.
Atoms (fractional coordinates):
Zn 0.5000 0.5000 0.5000  12 Cl 4.27
Ba 0.0000 0.0000 0.0000  6 Cl 3.02
Cl 0.0000 0.5000 0.0000  2 Ba 3.02
Cl 0.0000 0.0000 0.5000  2 Ba 3.02
Cl 0.5000 0.0000 0.0000  2 Ba 3.02

DFT (GGA-PBE) results for a relaxed Ba2ZnCl crystal.

The calculation puts the offset from the most stable computed form at 0.077 eV per atom. The space-group type is Imm2, No. 44.

Cell lengths 8.9885, 8.9885, 8.9885 Å; angles 153.29, 152.15, 38.97 degrees
With the nearest neighbours (Å) after each atom.
Atoms (fractional coordinates):
Ba 0.9540 0.9540 0.0000  4 Cl 3.32, 2 Zn 3.41
Ba 0.7086 0.2086 0.5000  4 Zn 3.36, 2 Cl 3.55
Cl 0.5387 0.5387 0.0000  6 Ba 3.32-3.55
Zn 0.2986 0.7986 0.5000  6 Ba 3.36-3.41

DFT (GGA-PBE) results for a relaxed Ba2ZnCl crystal.

The calculation puts the offset from the most stable computed form at 0.006 eV per atom. The space-group type is R-3m, No. 166.

Cell lengths 4.6420, 4.6420, 8.6675 Å; angles 74.47, 74.47, 59.97 degrees
With the nearest neighbours (Å) after each atom.
Atoms (fractional coordinates):
Ba 0.9996 0.9996 0.0002  3 Cl 3.38, 3 Zn 3.38
Ba 0.5004 0.5004 0.4998  3 Cl 3.38, 3 Zn 3.38
Cl 0.2500 0.2500 0.2500  6 Ba 3.38
Zn 0.7500 0.7500 0.7500  6 Ba 3.38

DFT (GGA-PBE) results for a relaxed BaZnCl4 crystal.

The space-group type is I4_1/amd, No. 141.

Cell lengths 8.0690, 8.0687, 8.0688 Å; angles 74.70, 74.70, 118.17 degrees
With the nearest neighbours (Å) after each atom.
Atoms (fractional coordinates):
Ba 0.8750 0.6250 0.2500  8 Cl 3.19-3.21
Ba 0.1250 0.3750 0.7500  8 Cl 3.19-3.21
Zn 0.6250 0.8750 0.7500  4 Cl 2.29
Zn 0.3750 0.1250 0.2500  4 Cl 2.29
Cl 0.2681 0.6981 0.9300  1 Zn 2.29
Cl 0.6280 0.6980 0.5700  1 Zn 2.29
Cl 0.1980 0.1281 0.0700  1 Zn 2.29
Cl 0.7319 0.3019 0.0700  1 Zn 2.29
Cl 0.1980 0.7681 0.4300  1 Zn 2.29
Cl 0.8020 0.8719 0.9300  1 Zn 2.29
Cl 0.3720 0.3019 0.4300  1 Zn 2.29
Cl 0.8020 0.2319 0.5700  1 Zn 2.29

DFT (GGA-PBE) results for a relaxed Ba2ZnCl crystal.

The calculation puts the offset from the most stable computed form at 0.000 eV per atom. The space-group type is P4/mmm, No. 123.

Cell lengths 6.7976, 4.7283, 4.7262 Å; angles 90.00, 90.00, 90.00 degrees
With the nearest neighbours (Å) after each atom.
Atoms (fractional coordinates):
Ba 0.0000 0.8755 0.8747  4 Cl 3.34, 2 Zn 3.40
Ba 0.5000 0.3747 0.3750  4 Zn 3.34, 2 Cl 3.40
Cl 0.0000 0.3752 0.3749  6 Ba 3.34-3.40
Zn 0.5000 0.8746 0.8755  6 Ba 3.34-3.40

DFT (GGA-PBE) results for a relaxed Ba4ZnCl2 crystal.

The space-group type is I4/mmm, No. 139.

Cell lengths 6.4027, 6.4027, 9.2463 Å; angles 69.74, 69.74, 90.00 degrees
With the nearest neighbours (Å) after each atom.
Atoms (fractional coordinates):
Zn 0.0000 0.0000 0.0000  6 Ba 3.20-3.50
Ba 0.7829 0.7829 0.4342  1 Cl 2.98
Ba 0.2171 0.2171 0.5658  1 Cl 2.98
Ba 0.0000 0.5000 0.0000  2 Zn 3.20, 4 Cl 3.57
Ba 0.5000 0.0000 0.0000  2 Zn 3.20, 4 Cl 3.57
Cl 0.5978 0.5978 0.8044  1 Ba 2.98, 1 Cl 3.15
Cl 0.4022 0.4022 0.1956  1 Ba 2.98, 1 Cl 3.15

DFT (GGA-PBE) results for a relaxed Ba2ZnCl6 crystal.

The space-group type is P2_1/c, No. 14.

Cell lengths 6.8192, 8.0158, 9.6118 Å; angles 90.00, 91.96, 90.00 degrees
With the nearest neighbours (Å) after each atom.
Atoms (fractional coordinates):
Ba 0.9615 0.3946 0.7428  8 Cl 3.13-3.29
Ba 0.5385 0.8946 0.7572  8 Cl 3.13-3.29
Ba 0.4615 0.1054 0.2428  8 Cl 3.13-3.29
Ba 0.0385 0.6054 0.2572  8 Cl 3.13-3.29
Zn 0.5000 0.5000 0.0000  6 Cl 2.40-2.63
Zn 0.0000 0.0000 0.5000  6 Cl 2.40-2.63
Cl 0.9054 0.9789 0.2578  1 Zn 2.40
Cl 0.8406 0.7085 0.5513  1 Zn 2.63
Cl 0.8080 0.6571 0.9543  1 Zn 2.50
Cl 0.6920 0.1571 0.5457  1 Zn 2.50
Cl 0.6594 0.2085 0.9487  1 Zn 2.63
Cl 0.5946 0.4789 0.2422  1 Zn 2.40
Cl 0.0946 0.0211 0.7422  1 Zn 2.40
Cl 0.1594 0.2915 0.4487  1 Zn 2.63
Cl 0.1920 0.3429 0.0457  1 Zn 2.50
Cl 0.3080 0.8429 0.4543  1 Zn 2.50
Cl 0.3406 0.7915 0.0513  1 Zn 2.63
Cl 0.4054 0.5211 0.7578  1 Zn 2.40

DFT (GGA-PBE) results for a relaxed BaZnCl2 crystal.

The calculation puts the offset from the most stable computed form at 0.095 eV per atom. The space-group type is Imm2, No. 44.

Cell lengths 8.1338, 8.1338, 8.1338 Å; angles 150.65, 145.51, 45.90 degrees
With the nearest neighbours (Å) after each atom.
Atoms (fractional coordinates):
Zn 0.4450 0.4450 0.0000  6 Cl 3.66-3.72, 2 Ba 3.96
Ba 0.2191 0.7191 0.5000  6 Cl 2.99-3.23
Cl 0.0745 0.0745 0.0000  2 Ba 2.99
Cl 0.7613 0.2613 0.5000  4 Ba 3.23

Across the entries above, total magnetic moment takes the values 1.00; 0.34; 0.74; 0.00; 0.61; 0.00; 0.00; 0.00 μB/cell, respectively.
Across the entries above, energy relative to the elements, uncorrected takes the values -113.3; -83.7; -90.6; -178.3; -91.1; -86.6; -198.0; -142.7 kJ/mol of atoms, respectively.